# 1
# ZnSi2Bi (GGA-PBEsol, optimized geometry)
data_ZnSi2Bi
_cell_length_a 4.816
_cell_length_b 4.816
_cell_length_c 4.816
_cell_angle_alpha 60.00
_cell_angle_beta 60.00
_cell_angle_gamma 60.00
_symmetry_space_group_name_H-M 'P 1'
_symmetry_Int_Tables_number 1
loop_
_symmetry_equiv_pos_as_xyz
'x,y,z'
loop_
_atom_site_label
_atom_site_type_symbol
_atom_site_fract_x
_atom_site_fract_y
_atom_site_fract_z
_atom_site_occupancy
Zn1 Zn 0.000 0.000 0.000 1
Si1 Si 0.250 0.250 0.250 1
Si2 Si 0.750 0.750 0.750 1
Bi1 Bi 0.500 0.500 0.500 1
# space group	Fm-3m (225)
# spin magnetization	0.00	μB/f.u.
# volume	79.0	Å³/cell
# total energy	-3.777	eV/atom
# ΔE_f (raw)	0.563	eV per atom

# 2
# Cs2BiPWO8 (GGA-PBEsol, optimized geometry)
data_Cs2BiPWO8
_cell_length_a 7.158
_cell_length_b 12.549
_cell_length_c 12.866
_cell_angle_alpha 119.19
_cell_angle_beta 106.15
_cell_angle_gamma 90.00
_symmetry_space_group_name_H-M 'P 1'
_symmetry_Int_Tables_number 1
loop_
_symmetry_equiv_pos_as_xyz
'x,y,z'
loop_
_atom_site_label
_atom_site_type_symbol
_atom_site_fract_x
_atom_site_fract_y
_atom_site_fract_z
_atom_site_occupancy
Cs1 Cs 0.191 0.244 0.317 1
Cs2 Cs 0.126 0.573 0.317 1
Cs3 Cs 0.309 0.927 0.683 1
Cs4 Cs 0.374 0.256 0.683 1
Cs5 Cs 0.809 0.756 0.683 1
Cs6 Cs 0.874 0.427 0.683 1
Cs7 Cs 0.691 0.073 0.317 1
Cs8 Cs 0.626 0.744 0.317 1
Bi1 Bi 0.250 0.832 0.000 1
Bi2 Bi 0.750 0.668 0.000 1
Bi3 Bi 0.750 0.168 0.000 1
Bi4 Bi 0.250 0.332 0.000 1
P1 P 0.250 0.073 0.000 1
P2 P 0.750 0.427 0.000 1
P3 P 0.750 0.927 0.000 1
P4 P 0.250 0.573 0.000 1
W1 W 0.157 0.907 0.313 1
W2 W 0.343 0.593 0.687 1
W3 W 0.843 0.093 0.687 1
W4 W 0.657 0.407 0.313 1
O1 O 0.090 0.160 0.017 1
O2 O 0.927 0.357 0.017 1
O3 O 0.410 0.143 0.983 1
O4 O 0.573 0.340 0.983 1
O5 O 0.910 0.840 0.983 1
O6 O 0.073 0.643 0.983 1
O7 O 0.590 0.857 0.017 1
O8 O 0.427 0.660 0.017 1
O9 O 0.169 0.941 0.885 1
O10 O 0.716 0.444 0.885 1
O11 O 0.331 0.056 0.115 1
O12 O 0.784 0.559 0.115 1
O13 O 0.831 0.059 0.115 1
O14 O 0.284 0.556 0.115 1
O15 O 0.669 0.944 0.885 1
O16 O 0.216 0.441 0.885 1
O17 O 0.311 0.893 0.219 1
O18 O 0.908 0.826 0.219 1
O19 O 0.189 0.674 0.781 1
O20 O 0.592 0.607 0.781 1
O21 O 0.689 0.107 0.781 1
O22 O 0.092 0.174 0.781 1
O23 O 0.811 0.326 0.219 1
O24 O 0.408 0.393 0.219 1
O25 O 0.266 0.845 0.410 1
O26 O 0.145 0.065 0.410 1
O27 O 0.234 0.435 0.590 1
O28 O 0.355 0.655 0.590 1
O29 O 0.734 0.155 0.590 1
O30 O 0.855 0.935 0.590 1
O31 O 0.766 0.565 0.410 1
O32 O 0.645 0.345 0.410 1
# space group	Ibca (73)
# spin magnetization	0.00	μB/f.u.
# volume	956.4	Å³/cell
# total energy	-7.313	eV/atom
# ΔE_f (raw)	-2.101	eV per atom